(1)
Nd4C2I4Cl after structural relaxation. Source: the Open Quantum Materials Database, functional GGA-PBE.

## Properties
The space group is No. 12. As for the theoretical density: 5.5 Mg/m³. The calculation puts the total energy at -5.280 eV per atom.

Cell lengths 11.1637, 11.1637, 8.4512 Å; angles 111.95, 111.95, 20.69 degrees
Closest atoms and distances in Å follow each position.
Positions (direct):
C (0.4657, 0.4657, 0.4659)  1 C 1.40
C (0.5343, 0.5343, 0.5341)  1 C 1.40
Cl (0.5000, 0.5000, 0.0000)  4 Nd 3.21
I (0.8413, 0.8413, 0.0596)  3 Nd 3.13-3.29
I (0.1590, 0.1590, 0.3747)  3 Nd 3.13-3.30
I (0.8410, 0.8410, 0.6253)  3 Nd 3.13-3.30
I (0.1587, 0.1587, 0.9404)  3 Nd 3.13-3.29
Nd (0.0000, 0.0000, 0.2967)  4 C 2.73
Nd (0.3543, 0.3543, 0.3554)  1 C 2.26
Nd (0.6457, 0.6457, 0.6446)  1 C 2.26
Nd (0.0000, 0.0000, 0.7033)  4 C 2.73

---

(2)
ZrReO4 after structural relaxation. Source: the Open Quantum Materials Database, functional GGA-PBE.

## Properties
The space group is No. 1. As for the theoretical density: 7.5 Mg/m³. The calculation puts the total energy at -8.741 eV per atom.

Cell lengths 3.2626, 6.6054, 7.7964 Å; angles 111.99, 101.88, 90.03 degrees
Closest atoms and distances in Å follow each position.
Positions (direct):
O (0.1940, 0.1549, 0.0608)  3 Zr 2.07-2.15
O (0.8037, 0.4700, 0.2875)  2 Re 2.01-2.02, 1 Zr 2.22
O (0.8058, 0.8364, 0.2927)  2 Re 2.05-2.06, 1 Zr 2.13
O (0.3696, 0.2025, 0.4177)  1 Re 1.90
O (0.4577, 0.8059, 0.5826)  1 Re 1.90
O (0.0143, 0.5274, 0.6989)  2 Re 2.02, 1 Zr 2.20
O (0.0243, 0.1728, 0.7198)  2 Re 2.04-2.05, 1 Zr 2.16
O (0.6328, 0.8358, 0.9386)  3 Zr 2.08-2.16
Re (0.3143, 0.6585, 0.3142)  5 O 1.90-2.06
Re (0.5095, 0.3418, 0.6862)  5 O 1.90-2.05
Zr (0.7672, 0.1095, 0.2095)  7 O 2.07-2.22
Zr (0.0599, 0.8860, 0.7904)  7 O 2.08-2.20

---

(3)
Dy3Cd3CuAu2 after structural relaxation. Source: the Open Quantum Materials Database, functional GGA-PBE.

## Properties
The space group is No. 189. As for the theoretical density: 10.8 Mg/m³. The calculation puts the total energy at -3.548 eV per atom. For the formation energy, the calculation gives -0.58 eV per atom.

Cell lengths 7.6933, 7.6933, 3.8635 Å; angles 90.00, 90.00, 120.00 degrees
Closest atoms and distances in Å follow each position.
Positions (direct):
Au (0.6667, 0.3333, 0.5000)  3 Cd 2.97, 6 Dy 3.03
Au (0.3333, 0.6667, 0.5000)  3 Cd 2.97, 6 Dy 3.03
Cd (0.2445, 0.0000, 0.5000)  2 Cu 2.70, 2 Au 2.97
Cd (0.0000, 0.2445, 0.5000)  2 Cu 2.70, 2 Au 2.97
Cd (0.7555, 0.7555, 0.5000)  2 Cu 2.70, 2 Au 2.97
Cu (0.0000, 0.0000, 0.0000)  6 Cd 2.70
Dy (0.5913, 0.0000, 0.0000)  4 Au 3.03, 1 Cu 3.14, 6 Cd 3.29-3.35
Dy (0.4087, 0.4087, 0.0000)  4 Au 3.03, 1 Cu 3.14, 6 Cd 3.29-3.35
Dy (0.0000, 0.5913, 0.0000)  4 Au 3.03, 1 Cu 3.14, 6 Cd 3.29-3.35

---

(4)
CdB2H8 after structural relaxation. Source: the Open Quantum Materials Database, functional GGA-PBE.

## Properties
The space group is No. 102. As for the theoretical density: 2.3 Mg/m³. The calculation puts the total energy at -3.763 eV per atom.

Cell lengths 5.8424, 5.8424, 5.8854 Å; angles 90.00, 90.00, 90.00 degrees
Closest atoms and distances in Å follow each position.
Positions (direct):
B (0.2670, 0.2670, 0.2259)  4 H 1.21-1.23
B (0.7330, 0.7330, 0.2259)  4 H 1.21-1.23
B (0.7670, 0.2330, 0.7259)  4 H 1.21-1.23
B (0.2330, 0.7670, 0.7259)  4 H 1.21-1.23
Cd (0.5000, 0.5000, 0.4919)  6 H 2.10-2.15
Cd (0.0000, 0.0000, 0.9919)  6 H 2.10-2.15
H (0.2899, 0.2899, 0.0224)  1 B 1.21
H (0.7101, 0.7101, 0.0224)  1 B 1.21
H (0.4510, 0.1925, 0.2972)  1 B 1.23
H (0.1925, 0.4510, 0.2972)  1 B 1.23
H (0.8075, 0.5490, 0.2972)  1 B 1.23
H (0.5490, 0.8075, 0.2972)  1 B 1.23
H (0.1277, 0.1277, 0.3013)  1 B 1.23
H (0.8723, 0.8723, 0.3013)  1 B 1.23
H (0.7899, 0.2101, 0.5224)  1 B 1.21
H (0.2101, 0.7899, 0.5224)  1 B 1.21
H (0.6925, 0.0490, 0.7972)  1 B 1.23
H (0.9510, 0.3075, 0.7972)  1 B 1.23
H (0.0490, 0.6925, 0.7972)  1 B 1.23
H (0.3075, 0.9510, 0.7972)  1 B 1.23
H (0.6277, 0.3723, 0.8013)  1 B 1.23
H (0.3723, 0.6277, 0.8013)  1 B 1.23

---

(5)
CsTbNiSe3 after structural relaxation. Source: the Open Quantum Materials Database, functional GGA-PBE.

## Properties
The calculation puts the energy relative to the lowest polymorph listed for this composition at 0 meV/atom. The space group is No. 11. As for the theoretical density: 5.2 Mg/m³. The calculation puts the total energy at -4.789 eV per atom.

Cell lengths 9.6558, 4.1245, 10.1404 Å; angles 90.00, 112.05, 90.00 degrees
Closest atoms and distances in Å follow each position.
Positions (direct):
Cs (0.2135, 0.2500, 0.2477)  7 Se 3.59-3.80
Cs (0.7865, 0.7500, 0.7523)  7 Se 3.59-3.80
Ni (0.9223, 0.7500, 0.4017)  4 Se 2.34-2.42
Ni (0.0777, 0.2500, 0.5983)  4 Se 2.34-2.42
Se (0.8808, 0.7500, 0.1507)  1 Ni 2.42
Se (0.4716, 0.7500, 0.1611)  3 Tb 2.84-2.89
Se (0.8235, 0.2500, 0.4529)  3 Ni 2.34-2.41
Se (0.1765, 0.7500, 0.5471)  3 Ni 2.34-2.41
Se (0.5284, 0.2500, 0.8389)  3 Tb 2.84-2.89
Se (0.1192, 0.2500, 0.8493)  1 Ni 2.42
Tb (0.6712, 0.2500, 0.1396)  6 Se 2.84-2.96
Tb (0.3288, 0.7500, 0.8604)  6 Se 2.84-2.96

---

(6)
Zn2GeN4F after structural relaxation. Source: the Open Quantum Materials Database, functional GGA-PBE.

## Properties
The space group is No. 82. As for the theoretical density: 4.6 Mg/m³. The calculation puts the total energy at -5.068 eV per atom.

Cell lengths 6.1087, 6.1087, 6.1087 Å; angles 138.18, 138.18, 60.62 degrees
Closest atoms and distances in Å follow each position.
Positions (direct):
F (0.0000, 0.0000, 0.0000)  4 N 2.99, 4 Zn 3.08
Ge (0.2500, 0.7500, 0.5000)  4 N 1.89
N (0.2131, 0.4481, 0.0106)  1 N 1.45
N (0.7975, 0.7869, 0.2350)  1 N 1.45
N (0.5519, 0.5625, 0.7650)  1 N 1.45
N (0.4375, 0.2025, 0.9894)  1 N 1.45
Zn (0.5000, 0.5000, 0.0000)  4 N 1.98
Zn (0.7500, 0.2500, 0.5000)  4 N 1.94

---

(7)
TbI3 after structural relaxation. Source: the Open Quantum Materials Database, functional GGA-PBE.

## Properties
The space group is No. 167. As for the theoretical density: 5.3 Mg/m³. The calculation puts the total energy at -3.650 eV per atom.

Cell lengths 8.1645, 8.1645, 8.1645 Å; angles 54.87, 54.87, 54.87 degrees
Closest atoms and distances in Å follow each position.
Positions (direct):
I (0.7500, 0.4179, 0.0821)  2 Tb 3.05
I (0.5821, 0.9179, 0.2500)  2 Tb 3.05
I (0.0821, 0.7500, 0.4179)  2 Tb 3.05
I (0.9179, 0.2500, 0.5821)  2 Tb 3.05
I (0.4179, 0.0821, 0.7500)  2 Tb 3.05
I (0.2500, 0.5821, 0.9179)  2 Tb 3.05
Tb (0.0000, 0.0000, 0.0000)  6 I 3.05
Tb (0.5000, 0.5000, 0.5000)  6 I 3.05

---

(8)
HfTe2Au after structural relaxation. Source: the Open Quantum Materials Database, functional GGA-PBE.

## Properties
The space group is No. 216. As for the theoretical density: 11.2 Mg/m³. The calculation puts the total energy at -4.814 eV per atom.

Cell lengths 5.0983, 5.0983, 5.0983 Å; angles 60.00, 60.00, 60.00 degrees
Closest atoms and distances in Å follow each position.
Positions (direct):
Au (0.7500, 0.7500, 0.7500)  4 Hf 3.12, 4 Te 3.12
Hf (0.5000, 0.5000, 0.5000)  4 Te 3.12, 4 Au 3.12
Te (0.0000, 0.0000, 0.0000)  4 Te 3.12, 4 Au 3.12
Te (0.2500, 0.2500, 0.2500)  4 Hf 3.12, 4 Te 3.12

---

(9)
Y2ErAg3 after structural relaxation. Source: the Open Quantum Materials Database, functional GGA-PBE.

## Properties
The space group is No. 123. As for the theoretical density: 7.8 Mg/m³. The calculation puts the total energy at -4.671 eV per atom. For the formation energy, the calculation gives -0.34 eV per atom.

Cell lengths 3.6044, 3.6044, 10.9234 Å; angles 90.00, 90.00, 90.00 degrees
Closest atoms and distances in Å follow each position.
Positions (direct):
Ag (0.0000, 0.0000, 0.0000)  8 Y 3.14
Ag (0.0000, 0.0000, 0.3376)  4 Er 3.11, 4 Y 3.15
Ag (0.0000, 0.0000, 0.6624)  4 Er 3.11, 4 Y 3.15
Er (0.5000, 0.5000, 0.5000)  8 Ag 3.11
Y (0.5000, 0.5000, 0.1680)  8 Ag 3.14-3.15
Y (0.5000, 0.5000, 0.8320)  8 Ag 3.14-3.15

---

(10)
NaNdAsO after structural relaxation. Source: the Open Quantum Materials Database, functional GGA-PBE.

## Properties
The calculation puts the energy relative to the lowest polymorph listed for this composition at 114 meV/atom. The space group is No. 26. As for the theoretical density: 4.5 Mg/m³. The calculation puts the total energy at -5.450 eV per atom.

Cell lengths 3.6735, 8.4684, 6.1407 Å; angles 90.00, 90.00, 90.00 degrees
Closest atoms and distances in Å follow each position.
Positions (direct):
As (0.0000, 0.8379, 0.4127)  2 Na 2.95, 3 Nd 2.98-3.12
As (0.0000, 0.1621, 0.9127)  2 Na 2.95, 3 Nd 2.98-3.12
Na (0.5000, 0.4215, 0.0311)  2 O 2.24-2.33
Na (0.5000, 0.5785, 0.5311)  2 O 2.24-2.33
Nd (0.0000, 0.1899, 0.4199)  2 O 2.21
Nd (0.0000, 0.8101, 0.9199)  2 O 2.21
O (0.5000, 0.3344, 0.3903)  2 Nd 2.21, 2 Na 2.24-2.33
O (0.5000, 0.6656, 0.8904)  2 Nd 2.21, 2 Na 2.24-2.33